## LiP3C (PBE)

Data for a relaxed structure of LiP3C. Values from VASP.

## Properties
Symmetry: Pm-3m (221)
Energy of formation from the pure elements (eV/f.u.): 4.73
ρ (g/cm³): 2.7
Energy (eV per atom): -4.528
E above lowest polymorph (eV/atom): 0.0000

```
&SYSTEM
  ibrav = 0, nat = 5, ntyp = 3
/
ATOMIC_SPECIES
Li 6.94 Li.upf
P 30.97 P.upf
C 12.01 C.upf
CELL_PARAMETERS angstrom
4.110 0.000 0.000
0.000 4.110 0.000
0.000 0.000 4.110
ATOMIC_POSITIONS angstrom
Li 0.000 0.000 0.000
P 0.000 2.055 2.055
P 2.055 0.000 2.055
P 2.055 2.055 0.000
C 2.055 2.055 2.055
```

***

## La3DyEr7 (PBE)

Data for a relaxed structure of La3DyEr7. Values from VASP.

## Properties
Symmetry: P-1 (2)
Energy of formation from the pure elements (eV/f.u.): 1.34
ρ (g/cm³): 8.0
Energy (eV per atom): -4.544
E above lowest polymorph (eV/atom): 0.0000

```
&SYSTEM
  ibrav = 0, nat = 11, ntyp = 3
/
ATOMIC_SPECIES
La 138.91 La.upf
Dy 162.50 Dy.upf
Er 167.26 Er.upf
CELL_PARAMETERS angstrom
6.533 0.000 0.000
-0.610 6.683 0.000
-1.223 -1.606 8.360
ATOMIC_POSITIONS angstrom
La 0.000 0.000 0.000
La 0.730 3.476 1.384
La 3.969 1.601 6.976
Dy 2.655 -0.803 4.180
Er -1.100 4.218 4.825
Er 0.732 0.572 6.587
Er 1.327 3.927 7.125
Er 2.350 2.538 4.180
Er 3.372 1.150 1.236
Er 3.967 4.505 1.774
Er 5.800 0.859 3.535
```

***

## Rb3Mn2Te4 (PBE)

Data for a relaxed structure of Rb3Mn2Te4. Values from VASP.

## Properties
Symmetry: C2/m (12)
ρ (g/cm³): 4.1
Energy (eV per atom): -4.367
Formation energy from raw total energies (meV/atom): -611

```
&SYSTEM
  ibrav = 0, nat = 9, ntyp = 3
/
ATOMIC_SPECIES
Rb 85.47 Rb.upf
Mn 54.94 Mn.upf
Te 127.60 Te.upf
CELL_PARAMETERS angstrom
9.654 -2.370 0.000
9.654 2.370 0.000
-3.861 0.000 7.794
ATOMIC_POSITIONS angstrom
Rb 0.000 0.000 0.000
Rb 0.379 0.000 4.275
Rb 15.069 0.000 3.519
Mn 6.106 0.000 0.332
Mn 9.343 0.000 7.461
Te 3.454 0.000 1.195
Te 7.965 0.000 2.184
Te 7.484 0.000 5.610
Te 11.995 0.000 6.599
```

***

## Er3InHg (PBE)

Data for a relaxed structure of Er3InHg. Values from VASP.

## Properties
Symmetry: Cmcm (63)
Energy of formation from the pure elements (eV/f.u.): -1.76
ρ (g/cm³): 10.1
Energy (eV per atom): -3.699
E above lowest polymorph (eV/atom): 0.0000

```
&SYSTEM
  ibrav = 0, nat = 10, ntyp = 3
/
ATOMIC_SPECIES
Er 167.26 Er.upf
In 114.82 In.upf
Hg 200.59 Hg.upf
CELL_PARAMETERS angstrom
2.550 -10.371 0.000
2.550 10.371 0.000
0.000 0.000 5.097
ATOMIC_POSITIONS angstrom
Er 2.550 9.156 3.823
Er 2.550 5.193 3.823
Er 2.550 1.241 3.823
Er 2.550 -1.241 1.274
Er 2.550 -5.193 1.274
Er 2.550 -9.156 1.274
In 2.550 7.142 1.274
In 2.550 -7.142 3.823
Hg 2.550 3.187 1.274
Hg 2.550 -3.187 3.823
```

***

## ScInAs4 (PBE)

Data for a relaxed structure of ScInAs4. Values from VASP.

## Properties
Symmetry: F-43m (216)
Energy of formation from the pure elements (eV/f.u.): 0.22
ρ (g/cm³): 6.0
Energy (eV per atom): -4.575

```
&SYSTEM
  ibrav = 0, nat = 6, ntyp = 3
/
ATOMIC_SPECIES
Sc 44.96 Sc.upf
In 114.82 In.upf
As 74.92 As.upf
CELL_PARAMETERS angstrom
0.000 4.001 4.001
4.001 0.000 4.001
4.001 4.001 0.000
ATOMIC_POSITIONS angstrom
Sc 0.000 0.000 0.000
In 2.000 2.000 2.000
As 4.998 3.003 3.003
As 3.003 4.998 3.003
As 3.003 3.003 4.998
As 4.998 4.998 4.998
```

***

## TlCdPb (PBE)

Data for a relaxed structure of TlCdPb. Values from VASP.

## Properties
Symmetry: P3m1 (156)
Energy of formation from the pure elements (eV/f.u.): 0.09
ρ (g/cm³): 9.8
Energy (eV per atom): -2.299
E above lowest polymorph (eV/atom): 0.0050

```
&SYSTEM
  ibrav = 0, nat = 3, ntyp = 3
/
ATOMIC_SPECIES
Tl 204.38 Tl.upf
Cd 112.41 Cd.upf
Pb 207.20 Pb.upf
CELL_PARAMETERS angstrom
5.525 0.000 0.000
-2.762 4.785 0.000
0.000 0.000 3.349
ATOMIC_POSITIONS angstrom
Tl 0.000 0.000 0.000
Cd 2.762 1.595 1.637
Pb 0.000 3.190 1.677
```

***

## NbZnW2N (PBE)

Data for a relaxed structure of NbZnW2N. Values from VASP.

## Properties
Symmetry: P4/mmm (123)
ρ (g/cm³): 9.3
Energy (eV per atom): -6.237
Formation energy from raw total energies (meV/atom): 2878

```
&SYSTEM
  ibrav = 0, nat = 5, ntyp = 4
/
ATOMIC_SPECIES
Nb 92.91 Nb.upf
Zn 65.41 Zn.upf
W 183.84 W.upf
N 14.01 N.upf
CELL_PARAMETERS angstrom
4.531 0.000 0.000
0.000 4.531 0.000
0.000 0.000 4.678
ATOMIC_POSITIONS angstrom
Nb 0.000 0.000 0.000
Zn 0.000 0.000 2.339
W 0.000 2.266 2.339
W 2.266 0.000 2.339
N 2.266 2.266 0.000
```

***

## La3Rh2Au3 (PBE)

Data for a relaxed structure of La3Rh2Au3. Values from VASP.

## Properties
Symmetry: Pnma (62)
Energy of formation from the pure elements (eV/f.u.): -5.99
ρ (g/cm³): 10.7
Energy (eV per atom): -5.663

```
&SYSTEM
  ibrav = 0, nat = 32, ntyp = 3
/
ATOMIC_SPECIES
La 138.91 La.upf
Rh 102.91 Rh.upf
Au 196.97 Au.upf
CELL_PARAMETERS angstrom
7.716 0.000 0.000
0.000 17.350 0.000
0.000 0.000 5.612
ATOMIC_POSITIONS angstrom
La 0.239 1.838 0.584
La 0.239 6.837 0.584
La 1.283 4.338 3.609
La 2.575 13.013 0.803
La 3.619 10.513 3.390
La 3.619 15.512 3.390
La 4.097 1.838 2.222
La 4.097 6.837 2.222
La 5.141 4.338 4.809
La 6.433 13.013 2.003
La 7.477 10.513 5.028
La 7.477 15.512 5.028
Rh 0.907 10.797 1.958
Rh 0.907 15.228 1.958
Rh 2.951 2.122 4.764
Rh 2.951 6.553 4.764
Rh 4.764 10.797 0.848
Rh 4.764 15.228 0.848
Rh 6.809 2.122 3.654
Rh 6.809 6.553 3.654
Au 1.345 0.444 3.261
Au 1.345 8.231 3.261
Au 1.390 13.013 3.676
Au 2.468 4.338 0.870
Au 2.513 9.119 0.455
Au 2.513 16.907 0.455
Au 5.202 0.444 5.157
Au 5.202 8.231 5.157
Au 5.248 13.013 4.742
Au 6.326 4.338 1.936
Au 6.371 9.119 2.351
Au 6.371 16.907 2.351
```

***

## Cs2PF6 (PBE)

Data for a relaxed structure of Cs2PF6. Values from VASP.

## Properties
Symmetry: C2/m (12)
ρ (g/cm³): 2.7
Energy (eV per atom): -4.500
Formation energy from raw total energies (meV/atom): -2461
E above lowest polymorph (eV/atom): 0.0492

```
&SYSTEM
  ibrav = 0, nat = 9, ntyp = 3
/
ATOMIC_SPECIES
Cs 132.91 Cs.upf
P 30.97 P.upf
F 19.00 F.upf
CELL_PARAMETERS angstrom
8.619 -2.770 0.000
8.619 2.770 0.000
-1.068 0.000 5.219
ATOMIC_POSITIONS angstrom
Cs 2.121 0.000 0.979
Cs 14.050 0.000 4.240
P 8.086 0.000 2.609
F 7.818 1.168 1.479
F 8.353 1.168 3.740
F 6.483 0.000 2.989
F 9.689 0.000 2.230
F 7.818 -1.168 1.479
F 8.353 -1.168 3.740
```

***

## SrCd (PBE)

Data for a relaxed structure of SrCd. Values from VASP.

## Properties
Symmetry: P6_3/mmc (194)
Energy of formation from the pure elements (eV/f.u.): -0.49
ρ (g/cm³): 4.5
Energy (eV per atom): -1.546

```
&SYSTEM
  ibrav = 0, nat = 12, ntyp = 2
/
ATOMIC_SPECIES
Sr 87.62 Sr.upf
Cd 112.41 Cd.upf
CELL_PARAMETERS angstrom
9.696 0.000 0.000
-4.848 8.397 0.000
0.000 0.000 5.404
ATOMIC_POSITIONS angstrom
Sr 0.000 3.094 1.351
Sr -2.169 6.850 1.351
Sr 2.679 1.547 4.053
Sr 2.169 6.850 1.351
Sr 7.017 1.547 4.053
Sr 4.848 5.303 4.053
Cd -1.520 4.720 4.053
Cd 1.520 4.720 4.053
Cd 0.000 7.353 4.053
Cd 4.848 1.044 1.351
Cd 3.328 3.677 1.351
Cd 6.368 3.677 1.351
```

***

## MnRu2Pt (PBE)

Data for a relaxed structure of MnRu2Pt. Values from VASP.

## Properties
Symmetry: Fm-3m (225)
Energy of formation from the pure elements (eV/f.u.): 1.83
ρ (g/cm³): 13.4
Energy (eV per atom): -7.984

```
&SYSTEM
  ibrav = 0, nat = 4, ntyp = 3
/
ATOMIC_SPECIES
Mn 54.94 Mn.upf
Ru 101.07 Ru.upf
Pt 195.08 Pt.upf
CELL_PARAMETERS angstrom
0.000 3.038 3.038
3.038 0.000 3.038
3.038 3.038 0.000
ATOMIC_POSITIONS angstrom
Mn 0.000 0.000 0.000
Ru 1.519 1.519 1.519
Ru 4.557 4.557 4.557
Pt 3.038 3.038 3.038
```

***

## Ce4CoS7 (PBE)

Data for a relaxed structure of Ce4CoS7. Values from VASP.

## Properties
Symmetry: P2_1 (4)
ρ (g/cm³): 5.2
Energy (eV per atom): -6.637
Formation energy from raw total energies (meV/atom): -1659

```
&SYSTEM
  ibrav = 0, nat = 24, ntyp = 3
/
ATOMIC_SPECIES
Ce 140.12 Ce.upf
Co 58.93 Co.upf
S 32.06 S.upf
CELL_PARAMETERS angstrom
9.360 0.000 0.000
0.000 7.031 0.000
-4.531 0.000 8.256
ATOMIC_POSITIONS angstrom
Ce -0.464 0.000 3.052
Ce -2.522 6.903 6.989
Ce 2.126 3.159 1.454
Ce 0.344 3.402 5.255
Ce 4.485 6.918 3.001
Ce 2.704 6.675 6.802
Ce 7.352 3.387 1.267
Ce 5.294 3.516 5.204
Co 4.633 2.226 0.008
Co 0.197 5.741 8.249
S -1.865 2.118 3.864
S 0.011 1.369 0.698
S 0.121 4.449 2.701
S -1.690 2.606 7.090
S 0.069 6.128 6.108
S 2.862 5.890 1.093
S 1.805 1.424 3.723
S 3.025 4.940 4.533
S 1.967 2.374 7.163
S 4.760 2.612 2.148
S 6.519 6.121 1.166
S 4.709 0.934 5.555
S 4.818 4.884 7.558
S 6.695 5.634 4.392
```

***

## BeRuBr2 (PBE)

Data for a relaxed structure of BeRuBr2. Values from VASP.

## Properties
Symmetry: Pmmm (47)
ρ (g/cm³): 5.6
Energy (eV per atom): -3.241
Formation energy from raw total energies (meV/atom): 846
E above lowest polymorph (eV/atom): 0.8480

```
&SYSTEM
  ibrav = 0, nat = 4, ntyp = 3
/
ATOMIC_SPECIES
Be 9.01 Be.upf
Ru 101.07 Ru.upf
Br 79.90 Br.upf
CELL_PARAMETERS angstrom
3.247 0.000 0.000
0.000 3.947 0.000
0.000 0.000 6.243
ATOMIC_POSITIONS angstrom
Be 0.000 0.000 0.000
Ru 1.623 0.000 3.122
Br 0.000 1.973 3.122
Br 1.623 1.973 0.000
```

***

## EuGdGaHg (PBE)

Data for a relaxed structure of EuGdGaHg. Values from VASP.

## Properties
Symmetry: F-43m (216)
Energy of formation from the pure elements (eV/f.u.): -1.99
ρ (g/cm³): 9.1
Energy (eV per atom): -7.420

```
&SYSTEM
  ibrav = 0, nat = 4, ntyp = 4
/
ATOMIC_SPECIES
Eu 151.96 Eu.upf
Gd 157.25 Gd.upf
Ga 69.72 Ga.upf
Hg 200.59 Hg.upf
CELL_PARAMETERS angstrom
0.000 3.758 3.758
3.758 0.000 3.758
3.758 3.758 0.000
ATOMIC_POSITIONS angstrom
Eu 0.000 0.000 0.000
Gd 3.758 3.758 3.758
Ga 5.637 5.637 5.637
Hg 1.879 1.879 1.879
```

***

## GdCoRu (PBE)

Data for a relaxed structure of GdCoRu. Values from VASP.

## Properties
Symmetry: P-6m2 (187)
Energy of formation from the pure elements (eV/f.u.): -0.33
ρ (g/cm³): 9.1
Energy (eV per atom): -10.265

```
&SYSTEM
  ibrav = 0, nat = 3, ntyp = 3
/
ATOMIC_SPECIES
Gd 157.25 Gd.upf
Co 58.93 Co.upf
Ru 101.07 Ru.upf
CELL_PARAMETERS angstrom
4.038 0.000 0.000
-2.019 3.497 0.000
0.000 0.000 4.094
ATOMIC_POSITIONS angstrom
Gd 0.000 0.000 0.000
Co 0.000 2.331 2.047
Ru 2.019 1.166 2.047
```

***

## La6ZnPd2 (PBE)

Data for a relaxed structure of La6ZnPd2. Values from VASP.

## Properties
Symmetry: Immm (71)
Energy of formation from the pure elements (eV/f.u.): -3.77
ρ (g/cm³): 6.8
Energy (eV per atom): -5.000

```
&SYSTEM
  ibrav = 0, nat = 18, ntyp = 3
/
ATOMIC_SPECIES
La 138.91 La.upf
Zn 65.41 Zn.upf
Pd 106.42 Pd.upf
CELL_PARAMETERS angstrom
-4.916 5.124 5.366
4.916 -5.124 5.366
4.916 5.124 -5.366
ATOMIC_POSITIONS angstrom
La 4.916 3.192 -2.745
La 2.757 1.770 0.000
La 7.075 1.770 0.000
La 1.970 5.124 -1.812
La 2.946 0.000 3.554
La 0.000 1.932 2.621
La 4.916 3.192 2.745
La 1.970 5.124 1.812
La 2.946 0.000 7.178
La -2.159 3.354 5.366
La 2.159 3.354 5.366
La 0.000 1.932 8.111
Zn 0.000 0.000 0.000
Zn 0.000 0.000 5.366
Pd 4.916 0.000 1.429
Pd 0.000 3.503 0.000
Pd 0.000 6.745 0.000
Pd 0.000 5.124 3.937
```

***

## YNiAu (PBE)

Data for a relaxed structure of YNiAu. Values from VASP.

## Properties
Symmetry: Cm (8)
Energy of formation from the pure elements (eV/f.u.): -1.71
ρ (g/cm³): 9.9
Energy (eV per atom): -5.746

```
&SYSTEM
  ibrav = 0, nat = 6, ntyp = 3
/
ATOMIC_SPECIES
Y 88.91 Y.upf
Ni 58.69 Ni.upf
Au 196.97 Au.upf
CELL_PARAMETERS angstrom
4.973 -2.120 0.000
4.973 2.120 0.000
-0.505 0.000 5.484
ATOMIC_POSITIONS angstrom
Y 0.000 0.000 0.000
Y 5.725 0.000 2.811
Ni 3.210 0.000 1.361
Ni 8.710 0.000 2.561
Au 2.813 0.000 4.001
Au 7.025 0.000 0.186
```

***

## PrIBr (PBE)

Data for a relaxed structure of PrIBr. Values from VASP.

## Properties
Symmetry: P-1 (2)
ρ (g/cm³): 4.8
Energy (eV per atom): -4.148
Formation energy from raw total energies (meV/atom): -1481
E above lowest polymorph (eV/atom): 0.0000

```
&SYSTEM
  ibrav = 0, nat = 6, ntyp = 3
/
ATOMIC_SPECIES
Pr 140.91 Pr.upf
I 126.90 I.upf
Br 79.90 Br.upf
CELL_PARAMETERS angstrom
4.176 0.000 0.000
-0.003 7.171 0.000
-1.994 -3.309 8.070
ATOMIC_POSITIONS angstrom
Pr 1.044 1.778 0.001
Pr 1.135 2.084 8.069
I -0.953 3.252 5.937
I 3.131 0.611 2.133
Br 1.041 4.185 1.833
Br 1.137 -0.322 6.238
```

***

## CdNi (PBE)

Data for a relaxed structure of CdNi. Values from VASP.

## Properties
Symmetry: C2/m (12)
Energy of formation from the pure elements (eV/f.u.): 0.25
ρ (g/cm³): 9.0
Energy (eV per atom): -3.225

```
&SYSTEM
  ibrav = 0, nat = 6, ntyp = 2
/
ATOMIC_SPECIES
Cd 112.41 Cd.upf
Ni 58.69 Ni.upf
CELL_PARAMETERS angstrom
5.157 -1.461 0.000
5.157 1.461 0.000
-2.354 0.000 6.252
ATOMIC_POSITIONS angstrom
Cd 0.000 0.000 0.000
Cd 2.760 0.000 1.319
Cd 5.201 0.000 4.934
Ni -1.177 0.000 3.126
Ni 2.115 0.000 3.960
Ni 5.846 0.000 2.293
```

***

## PmMn6 (PBE)

Data for a relaxed structure of PmMn6. Values from VASP.

## Properties
Symmetry: Im-3m (229)
Energy of formation from the pure elements (eV/f.u.): 4.57
ρ (g/cm³): 6.9
Energy (eV per atom): -7.886

```
&SYSTEM
  ibrav = 0, nat = 7, ntyp = 2
/
ATOMIC_SPECIES
Pm 145.00 Pm.upf
Mn 54.94 Mn.upf
CELL_PARAMETERS angstrom
-3.054 3.054 3.054
3.054 -3.054 3.054
3.054 3.054 -3.054
ATOMIC_POSITIONS angstrom
Pm 0.000 0.000 0.000
Mn 3.054 1.527 0.000
Mn 3.054 0.000 1.527
Mn 1.527 3.054 0.000
Mn 1.527 0.000 3.054
Mn 0.000 3.054 1.527
Mn 0.000 1.527 3.054
```

***

## Sm2ScZn4 (PBE)

Data for a relaxed structure of Sm2ScZn4. Values from VASP.

## Properties
Symmetry: R-3m (166)
Energy of formation from the pure elements (eV/f.u.): -0.81
ρ (g/cm³): 6.0
Energy (eV per atom): -3.096

```
&SYSTEM
  ibrav = 0, nat = 7, ntyp = 3
/
ATOMIC_SPECIES
Sm 150.36 Sm.upf
Sc 44.96 Sc.upf
Zn 65.41 Zn.upf
CELL_PARAMETERS angstrom
2.432 1.404 8.200
-2.432 1.404 8.200
0.000 -2.808 8.200
ATOMIC_POSITIONS angstrom
Sm 0.000 0.000 6.049
Sm 0.000 0.000 18.549
Sc 0.000 0.000 0.000
Zn 0.000 0.000 3.037
Zn 0.000 0.000 9.102
Zn 0.000 0.000 15.496
Zn 0.000 0.000 21.561
```

***

## La2Sn2Pd3 (PBE)

Data for a relaxed structure of La2Sn2Pd3. Values from VASP.

## Properties
Symmetry: C2/m (12)
Energy of formation from the pure elements (eV/f.u.): -5.77
ρ (g/cm³): 8.5
Energy (eV per atom): -5.602

```
&SYSTEM
  ibrav = 0, nat = 7, ntyp = 3
/
ATOMIC_SPECIES
La 138.91 La.upf
Sn 118.71 Sn.upf
Pd 106.42 Pd.upf
CELL_PARAMETERS angstrom
5.813 -2.127 0.000
5.813 2.127 0.000
-2.994 0.000 6.630
ATOMIC_POSITIONS angstrom
La 0.707 0.000 1.729
La 7.925 0.000 4.901
Sn -0.411 0.000 4.919
Sn 9.043 0.000 1.711
Pd 4.428 0.000 0.444
Pd 4.316 0.000 3.315
Pd 4.205 0.000 6.186
```

***

## CaInBi2F (PBE)

Data for a relaxed structure of CaInBi2F. Values from VASP.

## Properties
Symmetry: P4/mmm (123)
ρ (g/cm³): 5.0
Energy (eV per atom): -2.944
Formation energy from raw total energies (meV/atom): -69

```
&SYSTEM
  ibrav = 0, nat = 5, ntyp = 4
/
ATOMIC_SPECIES
Ca 40.08 Ca.upf
In 114.82 In.upf
Bi 208.98 Bi.upf
F 19.00 F.upf
CELL_PARAMETERS angstrom
5.606 0.000 0.000
0.000 5.606 0.000
0.000 0.000 6.245
ATOMIC_POSITIONS angstrom
Ca 0.000 0.000 0.000
In 0.000 0.000 3.123
Bi 0.000 2.803 3.123
Bi 2.803 0.000 3.123
F 2.803 2.803 0.000
```